# 1
Density functional theory data (PBE) for YMgAs3 after structural relaxation.

The structure in POSCAR format:
```
YMgAs3
1.0
5.382 0.000 0.000
0.000 5.382 0.000
0.000 0.000 5.382
Y Mg As
1 1 3
Direct
0.000 0.000 0.000
0.500 0.500 0.500
0.000 0.000 0.500
0.000 0.500 0.000
0.500 0.000 0.000
```

Computed properties:
- offset from the most stable computed form (eV/atom) = 0.271
- SG = Pm-3m (221)
- calculated formation energy (eV per atom) = 0.28

---

# 2
Density functional theory data (PBE) for Na2LiZr after structural relaxation.

The structure in POSCAR format:
```
Na2LiZr
1.0
8.294 0.000 0.000
0.000 8.294 0.000
0.000 0.000 6.249
Na Li Zr
8 4 4
Direct
0.209 0.250 0.125
0.250 0.709 0.375
0.250 0.791 0.875
0.291 0.250 0.625
0.709 0.750 0.625
0.750 0.209 0.875
0.750 0.291 0.375
0.791 0.750 0.125
0.000 0.000 0.000
0.000 0.500 0.250
0.500 0.000 0.750
0.500 0.500 0.500
0.000 0.000 0.500
0.000 0.500 0.750
0.500 0.000 0.250
0.500 0.500 0.000
```

Computed properties:
- offset from the most stable computed form (eV/atom) = 0.470
- SG = I-42d (122)
- calculated formation energy (eV per atom) = 0.80

---

# 3
Density functional theory data (PBE) for BeRe2Pb after structural relaxation.

The structure in POSCAR format:
```
BeRe2Pb
1.0
3.008 0.000 0.000
0.000 4.550 0.000
0.000 0.000 4.719
Be Re Pb
1 2 1
Direct
0.000 0.000 0.000
0.000 0.500 0.500
0.500 0.500 0.000
0.500 0.000 0.500
```

Computed properties:
- offset from the most stable computed form (eV/atom) = 0.648
- SG = Pmmm (47)
- calculated formation energy (eV per atom) = 0.97

---

# 4
Density functional theory data (PBE) for Mg2TiGaH after structural relaxation.

The structure in POSCAR format:
```
Mg2TiGaH
1.0
4.195 0.000 0.000
0.000 4.195 0.000
0.000 0.000 4.127
Mg Ti Ga H
2 1 1 1
Direct
0.000 0.500 0.000
0.500 0.000 0.000
0.000 0.000 0.500
0.500 0.500 0.500
0.000 0.000 0.000
```

Computed properties:
- SG = P4/mmm (123)

---

# 5
Density functional theory data (PBE) for NdHo2Sc after structural relaxation.

The structure in POSCAR format:
```
NdHo2Sc
1.0
4.918 0.000 0.000
0.000 4.918 0.000
0.000 0.000 5.001
Nd Ho Sc
1 2 1
Direct
0.000 0.000 0.000
0.000 0.500 0.500
0.500 0.000 0.500
0.500 0.500 0.000
```

Computed properties:
- offset from the most stable computed form (eV/atom) = 0.014
- SG = P4/mmm (123)
- calculated formation energy (eV per atom) = 0.04

---

# 6
Density functional theory data (PBE) for Cs2Ge2S5 after structural relaxation.

The structure in POSCAR format:
```
Cs2Ge2S5
1.0
8.189 -8.197 0.000
8.189 8.197 0.000
-1.750 0.000 9.459
Cs Ge S
8 8 20
Direct
0.048 0.210 0.119
0.210 0.048 0.619
0.210 0.474 0.638
0.474 0.210 0.138
0.526 0.790 0.862
0.790 0.526 0.362
0.790 0.952 0.381
0.952 0.790 0.881
0.136 0.733 0.386
0.267 0.542 0.115
0.267 0.864 0.114
0.458 0.733 0.385
0.542 0.267 0.615
0.733 0.136 0.886
0.733 0.458 0.885
0.864 0.267 0.614
0.003 0.752 0.523
0.119 0.881 0.250
0.120 0.557 0.253
0.248 0.688 0.975
0.248 0.997 0.977
0.249 0.378 0.984
0.312 0.752 0.525
0.378 0.249 0.484
0.442 0.558 0.250
0.443 0.880 0.247
0.557 0.120 0.753
0.558 0.442 0.750
0.622 0.751 0.516
0.688 0.248 0.475
0.751 0.622 0.016
0.752 0.003 0.023
0.752 0.312 0.025
0.880 0.443 0.747
0.881 0.119 0.750
0.997 0.248 0.477
```

Computed properties:
- formation energy (no corrections) (meV/atom) = -811.4
- SG = C2/c (15)

---

# 7
Density functional theory data (PBE) for NpTlAg2S4 after structural relaxation.

The structure in POSCAR format:
```
NpTlAg2S4
1.0
6.820 0.000 0.000
0.000 7.190 0.000
0.000 0.000 7.794
Np Tl Ag S
2 2 4 8
Direct
0.000 0.000 0.000
0.500 0.500 0.500
0.000 0.000 0.500
0.500 0.500 0.000
0.000 0.500 0.309
0.000 0.500 0.691
0.500 0.000 0.191
0.500 0.000 0.809
0.222 0.222 0.826
0.222 0.778 0.174
0.278 0.278 0.326
0.278 0.722 0.674
0.722 0.278 0.674
0.722 0.722 0.326
0.778 0.222 0.174
0.778 0.778 0.826
```

Computed properties:
- formation energy (no corrections) (meV/atom) = -390.6
- SG = I222 (23)

---

no.,calculated total energy (eV per atom)
1,-4.124
2,-2.479
3,-7.110
4,-3.632
5,-5.020
6,-4.320
7,-5.081